[1]
An optimized crystal structure of CoSiBr2, computed with GGA-PBE.

## Properties
size of the total moment: 1.115 μB per cell
space group: Cm, No. 8
E_form (uncorrected): 37 meV/atom

a = 6.324 Å, b = 6.324 Å, c = 4.857 Å
α = 89.77°, β = 89.77°, γ = 35.94°
Site moments in Bohr magnetons follow the coordinates.
Fractional positions:
Br: 0.686 0.686 0.749  0.02
Co: 0.622 0.622 0.250  1.05
Br: 0.987 0.987 0.252  0.02
Si: 0.205 0.205 0.248  -0.01

[2]
An optimized crystal structure of CoSiW2Br, computed with GGA-PBE.

## Properties
size of the total moment: 0.000 μB per cell
space group: P4/mmm, No. 123
E_form (uncorrected): 1369 meV/atom

a = 4.664 Å, b = 4.107 Å, c = 4.664 Å
α = 90.00°, β = 90.00°, γ = 90.00°
Fractional positions:
W: 0.000 0.000 0.500
Co: 0.000 0.000 0.000
Br: 0.500 0.500 0.500
W: 0.500 0.000 0.000
Si: 0.000 0.500 0.000

[3]
An optimized crystal structure of Sm3CoBr2, computed with GGA-PBE.

## Properties
size of the total moment: 0.336 μB per cell
space group: Immm, No. 71
E_form (uncorrected): -875 meV/atom

a = 3.849 Å, b = 5.902 Å, c = 7.976 Å
α = 111.71°, β = 103.96°, γ = 90.00°
Site moments in Bohr magnetons follow the coordinates.
Fractional positions:
Sm: 0.623 0.623 0.247  0.01
Co: 0.000 0.500 0.000  0.01
Br: 0.681 0.181 0.363  0.00
Br: 0.319 0.819 0.637  0.00
Sm: 0.000 0.000 0.000  0.13
Sm: 0.377 0.377 0.753  0.01

[4]
An optimized crystal structure of Sm2CoBr, computed with GGA-PBE.

## Properties
size of the total moment: 0.000 μB per cell
space group: C2, No. 5
E_form (uncorrected): -730 meV/atom

a = 3.943 Å, b = 3.944 Å, c = 8.056 Å
α = 90.00°, β = 104.16°, γ = 120.00°
Fractional positions:
Co: 0.023 0.253 0.052
Sm: 0.485 0.984 0.243
Br: 0.022 0.751 0.552
Sm: 0.563 0.523 0.860

[5]
An optimized crystal structure of Sm4Co2Br5, computed with GGA-PBE.

## Properties
size of the total moment: 0.027 μB per cell
space group: C2/m, No. 12
E_form (uncorrected): -1043 meV/atom

a = 4.010 Å, b = 8.284 Å, c = 11.376 Å
α = 92.46°, β = 100.15°, γ = 90.00°
Fractional positions:
Sm: 0.022 0.712 0.044
Br: 0.797 0.668 0.595
Br: 0.153 0.819 0.306
Br: 0.203 0.332 0.405
Br: 0.847 0.181 0.694
Co: 0.452 0.504 0.904
Co: 0.548 0.496 0.096
Br: 0.500 0.000 0.000
Sm: 0.978 0.288 0.956
Sm: 0.343 0.445 0.686
Sm: 0.657 0.555 0.314

[6]
An optimized crystal structure of Sm4Co2Br5, computed with GGA-PBE.

## Properties
size of the total moment: 0.000 μB per cell
space group: Immm, No. 71
E_form (uncorrected): -998 meV/atom

a = 4.045 Å, b = 8.303 Å, c = 10.552 Å
α = 113.17°, β = 101.05°, γ = 90.00°
Fractional positions:
Br: 0.831 0.062 0.661
Co: 0.444 0.444 0.889
Sm: 0.000 0.712 0.000
Sm: 0.000 0.288 0.000
Br: 0.169 0.938 0.339
Br: 0.169 0.401 0.339
Br: 0.500 0.000 0.000
Sm: 0.681 0.681 0.361
Co: 0.556 0.556 0.111
Sm: 0.319 0.319 0.639
Br: 0.831 0.599 0.661

[7]
An optimized crystal structure of Sm5CoBr5, computed with GGA-PBE.

## Properties
size of the total moment: 0.000 μB per cell
space group: C2/m, No. 12
E_form (uncorrected): -1141 meV/atom

a = 5.857 Å, b = 7.077 Å, c = 8.747 Å
α = 107.78°, β = 90.00°, γ = 114.44°
Fractional positions:
Br: 0.322 0.645 0.641
Br: 0.355 0.711 0.214
Br: 0.678 0.355 0.359
Sm: 0.860 0.720 0.723
Sm: 0.500 0.000 0.000
Co: 0.000 0.000 0.000
Sm: 0.140 0.280 0.277
Sm: 0.834 0.667 0.131
Br: 0.645 0.289 0.786
Br: 0.000 0.000 0.500
Sm: 0.166 0.333 0.869

[8]
An optimized crystal structure of Sm7CoBr12, computed with GGA-PBE.

## Properties
size of the total moment: 0.000 μB per cell
space group: R-3, No. 148
E_form (uncorrected): -1582 meV/atom

a = 9.388 Å, b = 9.388 Å, c = 9.388 Å
α = 106.55°, β = 106.55°, γ = 106.55°
Fractional positions:
Br: 0.833 0.619 0.539
Sm: 0.019 0.303 0.100
Br: 0.678 0.220 0.071
Br: 0.539 0.833 0.619
Sm: 0.100 0.019 0.303
Br: 0.167 0.381 0.461
Sm: 0.500 0.500 0.500
Br: 0.619 0.539 0.833
Sm: 0.697 0.900 0.981
Sm: 0.981 0.697 0.900
Co: 0.000 0.000 0.000
Sm: 0.900 0.981 0.697
Br: 0.461 0.167 0.381
Br: 0.220 0.071 0.678
Br: 0.780 0.929 0.322
Br: 0.322 0.780 0.929
Sm: 0.303 0.100 0.019
Br: 0.071 0.678 0.220
Br: 0.929 0.322 0.780
Br: 0.381 0.461 0.167

> E_form (uncorrected) of number 1 (CoSiBr2)?

37 meV/atom